# ZnGaOs2 PBE optimized geometry
# E: -0.2320 Ha/atom
# size of the total moment: 0.071 μB/atom
# V: 14.5 Å³/atom
data_ZnGaOs2
_symmetry_space_group_name_H-M 'P 1'
_symmetry_Int_Tables_number 1
_cell_length_a 4.340
_cell_length_b 4.340
_cell_length_c 4.340
_cell_angle_alpha 60.00
_cell_angle_beta 60.00
_cell_angle_gamma 60.00
loop_
_symmetry_equiv_pos_as_xyz
'x,y,z'
loop_
_atom_site_label
_atom_site_type_symbol
_atom_site_fract_x
_atom_site_fract_y
_atom_site_fract_z
Ga1 Ga 0.500 0.500 0.500
Os1 Os 0.000 0.000 0.000
Os2 Os 0.750 0.750 0.750
Zn1 Zn 0.250 0.250 0.250